Record 1
Compound: Pu2AlGaPd6
Source: Alexandria
Functional: GGA-PBE
Structure: optimized geometry

abc: 8.3481 8.3481 8.3481
angles: 39.41 39.41 39.41
Closest atoms and distances in Å follow each position.
Element x y z (fractional)
Pu  0.2009  0.2009  0.2009  9 Pd 3.03-3.16, 3 Al 3.34
Pu  0.7991  0.7991  0.7991  9 Pd 3.03-3.16, 3 Al 3.34
Al  0.5000  0.5000  0.5000  6 Pd 2.51
Ga  0.0000  0.0000  0.0000  6 Pd 2.52
Pd  0.2503  0.2503  0.7502  1 Al 2.51, 1 Ga 2.52
Pd  0.2503  0.7503  0.2503  1 Al 2.51, 1 Ga 2.52
Pd  0.2498  0.7497  0.7497  1 Al 2.51, 1 Ga 2.52
Pd  0.7502  0.2503  0.2503  1 Al 2.51, 1 Ga 2.52
Pd  0.7497  0.2498  0.7497  1 Al 2.51, 1 Ga 2.52
Pd  0.7497  0.7497  0.2498  1 Al 2.51, 1 Ga 2.52

Values from the calculation:
* E_tot: -71.1 eV per cell
* space-group type: No. 166
* energy of formation from the pure elements: -0.454 eV/atom
* V: 21.11 A^3/atom

Record 2
Compound: KCuSn
Source: Alexandria
Functional: GGA-PBE
Structure: optimized geometry

abc: 12.1805 4.6580 7.2708
angles: 90.00 90.00 90.00
Closest atoms and distances in Å follow each position.
Element x y z (fractional)
K  0.1620  0.2500  0.0458  4 Cu 3.39-3.67, 4 Sn 3.72-3.75
K  0.3380  0.7500  0.5458  4 Cu 3.39-3.67, 4 Sn 3.72-3.75
K  0.6620  0.2500  0.4542  4 Cu 3.39-3.67, 4 Sn 3.72-3.75
K  0.8380  0.7500  0.9542  4 Cu 3.39-3.67, 4 Sn 3.72-3.75
Cu  0.0676  0.7500  0.6895  3 Sn 2.58-2.62
Cu  0.4324  0.2500  0.1895  3 Sn 2.58-2.62
Cu  0.5676  0.7500  0.8105  3 Sn 2.58-2.62
Cu  0.9324  0.2500  0.3105  3 Sn 2.58-2.62
Sn  0.0962  0.2500  0.5448  3 Cu 2.58-2.62
Sn  0.4038  0.7500  0.0448  3 Cu 2.58-2.62
Sn  0.5962  0.2500  0.9552  3 Cu 2.58-2.62
Sn  0.9038  0.7500  0.4552  3 Cu 2.58-2.62

Values from the calculation:
* E_tot: -35.8 eV per cell
* space-group type: No. 62
* energy of formation from the pure elements: 0.086 eV/atom
* V: 34.38 A^3/atom

Record 3
Compound: Mg2BeIn
Source: Alexandria
Functional: GGA-PBE
Structure: optimized geometry

abc: 4.7718 4.7718 4.7718
angles: 60.00 60.00 60.00
Closest atoms and distances in Å follow each position.
Element x y z (fractional)
Mg  0.2500  0.2500  0.2500  4 In 2.92, 4 Be 2.92
Mg  0.7500  0.7500  0.7500  4 In 2.92, 4 Be 2.92
Be  0.0000  0.0000  0.0000  8 Mg 2.92
In  0.5000  0.5000  0.5000  8 Mg 2.92

Values from the calculation:
* E_tot: -8.6 eV per cell
* space-group type: No. 225
* energy of formation from the pure elements: 0.265 eV/atom
* V: 19.21 A^3/atom

Record 4
Compound: BaCa2Sn2
Source: Alexandria
Functional: GGA-PBE
Structure: optimized geometry

abc: 7.1103 7.1103 7.1103
angles: 131.62 131.62 70.83
Closest atoms and distances in Å follow each position.
Element x y z (fractional)
Ba  0.0000  0.0000  0.0000  2 Ca 3.95, 8 Sn 4.11
Ca  0.3405  0.3405  0.0000  4 Sn 3.10
Ca  0.6595  0.6595  0.0000  4 Sn 3.10
Sn  0.2500  0.7500  0.5000  4 Ca 3.10
Sn  0.7500  0.2500  0.5000  4 Ca 3.10

Values from the calculation:
* E_tot: -15.7 eV per cell
* space-group type: No. 139
* energy of formation from the pure elements: -0.348 eV/atom
* V: 39.36 A^3/atom

Record 5
Compound: Sr2Y2Pd15
Source: Alexandria
Functional: GGA-PBE
Structure: optimized geometry

abc: 7.1784 7.1784 7.1784
angles: 81.46 81.46 81.46
Closest atoms and distances in Å follow each position.
Element x y z (fractional)
Sr  0.1405  0.1405  0.1405  12 Pd 3.23-3.46, 1 Y 3.54
Sr  0.8595  0.8595  0.8595  12 Pd 3.23-3.46, 1 Y 3.54
Y  0.3905  0.3905  0.3905  6 Pd 2.82-2.90, 1 Y 3.10
Y  0.6095  0.6095  0.6095  6 Pd 2.82-2.90, 1 Y 3.10
Pd  0.0000  0.5000  0.5000  8 Pd 2.72-2.76, 2 Y 2.82
Pd  0.1518  0.1518  0.6547  8 Pd 2.72-2.93, 1 Y 2.90
Pd  0.1518  0.6547  0.1518  8 Pd 2.72-2.93, 1 Y 2.90
Pd  0.2023  0.5000  0.7977  8 Pd 2.76-2.93
Pd  0.2023  0.7977  0.5000  8 Pd 2.76-2.93
Pd  0.3453  0.8482  0.8482  8 Pd 2.72-2.93, 1 Y 2.90
Pd  0.5000  0.0000  0.5000  8 Pd 2.72-2.76, 2 Y 2.82
Pd  0.5000  0.2023  0.7977  8 Pd 2.76-2.93
Pd  0.5000  0.5000  0.0000  8 Pd 2.72-2.76, 2 Y 2.82
Pd  0.5000  0.7977  0.2023  8 Pd 2.76-2.93
Pd  0.6547  0.1518  0.1518  8 Pd 2.72-2.93, 1 Y 2.90
Pd  0.7977  0.2023  0.5000  8 Pd 2.76-2.93
Pd  0.7977  0.5000  0.2023  8 Pd 2.76-2.93
Pd  0.8482  0.3453  0.8482  8 Pd 2.72-2.93, 1 Y 2.90
Pd  0.8482  0.8482  0.3453  8 Pd 2.72-2.93, 1 Y 2.90

Values from the calculation:
* E_tot: -103.7 eV per cell
* space-group type: No. 166
* energy of formation from the pure elements: -0.500 eV/atom
* V: 18.88 A^3/atom

Record 6
Compound: Tl2BiAuBr6
Source: Alexandria
Functional: GGA-PBE
Structure: optimized geometry

abc: 8.0585 8.1388 8.1881
angles: 119.23 119.37 90.11
Closest atoms and distances in Å follow each position.
Element x y z (fractional)
Tl  0.0000  0.0000  0.0000  1 Au 3.26, 4 Br 3.28-3.57
Tl  0.3937  0.2446  0.8020  4 Br 3.28-3.48, 1 Au 3.48
Bi  0.7328  0.1377  0.4047  5 Br 2.77-3.09
Au  0.2190  0.4323  0.1490  2 Br 2.43-2.44
Br  0.0626  0.3650  0.4768  1 Bi 2.87
Br  0.3900  0.9423  0.3475  1 Bi 2.89
Br  0.5552  0.9079  0.9416  1 Bi 2.77
Br  0.5685  0.4818  0.4100  1 Au 2.43
Br  0.8795  0.4231  0.9076  1 Au 2.44
Br  0.9569  0.9021  0.5027  1 Bi 2.77

Values from the calculation:
* raw formation energy: -6.57 eV per formula unit
* E_tot: -28.5 eV per cell
* space-group type: No. 1
* V: 38.73 A^3/atom

The M_tot results, record by record, are as follows: 10.88; 0.00; 0.00; 0.00; 0.00; 0.00 μB/cell.